A.
A relaxed structure of LiOF2. Source: the Alexandria database, functional GGA-PBE.

## Properties
DOS(E_F): 0.00 states/eV per cell
V: 13.677 Å³/atom
Space-group type: No. 166
M_tot: 3.00 μB per formula unit
Calculated density: 1.8 Mg/m³

Lattice parameters (Å, degrees): 6.2373 6.2373 6.2373 30.29 30.29 30.29
Last column: magnetic moment on the atom in μB.
Atoms (fractional coordinates):
O  0.5000  0.5000  0.5000  1.93
Li  0.0000  0.0000  0.0000  0.01
F  0.9043  0.9043  0.9043  0.34
F  0.0957  0.0957  0.0957  0.34



B.
A relaxed structure of LiOF2. Source: the Alexandria database, functional GGA-PBE.

## Properties
V: 10.658 Å³/atom
Space-group type: No. 11
M_tot: 2.99 μB per formula unit
Calculated density: 2.4 Mg/m³

Lattice parameters (Å, degrees): 3.0447 5.3286 5.5427 108.52 90.00 90.00
Last column: magnetic moment on the atom in μB.
Atoms (fractional coordinates):
F  0.7776  0.6244  0.3590  0.34
F  0.7776  0.0913  0.7586  0.41
F  0.2776  0.0947  0.3448  0.41
F  0.2779  0.5617  0.7444  0.34
Li  0.7780  0.3481  0.5465  0.01
Li  0.2777  0.8379  0.5568  0.01
O  0.7775  0.8482  0.1208  1.85
O  0.2777  0.3377  0.9825  1.85



C.
A relaxed structure of LiOF2. Source: the Alexandria database, functional GGA-PBE.

## Properties
DOS(E_F): 0.00 states/eV per cell
V: 9.725 Å³/atom
Space-group type: No. 225
M_tot: 3.00 μB per formula unit
Calculated density: 2.6 Mg/m³

Lattice parameters (Å, degrees): 3.8033 3.8033 3.8033 60.00 60.00 60.00
Last column: magnetic moment on the atom in μB.
Atoms (fractional coordinates):
F  0.2500  0.2500  0.2500  0.43
F  0.7500  0.7500  0.7500  0.43
Li  0.0000  0.0000  0.0000  0.00
O  0.5000  0.5000  0.5000  1.79



D.
A relaxed structure of LiOF2. Source: the Alexandria database, functional GGA-PBE.

## Properties
DOS(E_F): 1.10 states/eV per cell
V: 10.596 Å³/atom
Space-group type: No. 166
M_tot: 1.00 μB per formula unit
Calculated density: 2.4 Mg/m³

Lattice parameters (Å, degrees): 5.7495 5.7495 5.7495 30.11 30.11 30.11
Last column: magnetic moment on the atom in μB.
Atoms (fractional coordinates):
F  0.1040  0.1040  0.1040  0.04
F  0.8960  0.8960  0.8960  0.04
Li  0.5000  0.5000  0.5000  0.00
O  0.0000  0.0000  0.0000  0.78



The energy of each structure relative to the most stable one, in meV/atom, is as follows: A 446; B 122; C 292; D 0.



A.
A relaxed structure of Li3OF. Source: the Alexandria database, functional GGA-PBE.

## Properties
DOS(E_F): 0.00 states/eV per cell
V: 10.133 Å³/atom
Space-group type: No. 227
M_tot: 0.03 μB per formula unit
Calculated density: 1.8 Mg/m³

Lattice parameters (Å, degrees): 6.5931 6.5931 6.5931 60.00 60.00 60.00
Atoms (fractional coordinates):
F  0.1250  0.1250  0.1250
F  0.1250  0.1250  0.6250
F  0.6250  0.1250  0.1250
F  0.1250  0.6250  0.1250
Li  0.7205  0.2795  0.2795
Li  0.2795  0.7205  0.7205
Li  0.2795  0.2795  0.7205
Li  0.7205  0.7205  0.2795
Li  0.9705  0.5295  0.5295
Li  0.9705  0.5295  0.9705
Li  0.9705  0.9705  0.5295
Li  0.5295  0.9705  0.5295
Li  0.7205  0.2795  0.7205
Li  0.5295  0.9705  0.9705
Li  0.5295  0.5295  0.9705
Li  0.2795  0.7205  0.2795
O  0.6250  0.6250  0.1250
O  0.1250  0.6250  0.6250
O  0.6250  0.1250  0.6250
O  0.6250  0.6250  0.6250



B.
A relaxed structure of Li3OF. Source: the Alexandria database, functional GGA-PBE.

## Properties
DOS(E_F): 0.00 states/eV per cell
V: 9.943 Å³/atom
Space-group type: No. 221
M_tot: 0.00 μB per formula unit
Calculated density: 1.9 Mg/m³

Lattice parameters (Å, degrees): 3.6770 3.6770 3.6770 90.00 90.00 90.00
Atoms (fractional coordinates):
F  0.5000  0.5000  0.5000
Li  0.5000  0.0000  0.0000
Li  0.0000  0.5000  0.0000
Li  0.0000  0.0000  0.5000
O  0.0000  0.0000  0.0000



The energy of each structure relative to the most stable one, in meV/atom, is as follows: A 5; B 0.



A.
A relaxed structure of LiO2F. Source: the Alexandria database, functional GGA-PBE.

## Properties
DOS(E_F): 0.32 states/eV per cell
V: 11.433 Å³/atom
Space-group type: No. 122
M_tot: 0.00 μB per formula unit
Calculated density: 2.1 Mg/m³

Lattice parameters (Å, degrees): 2.7181 2.7181 12.5282 83.77 83.77 90.00
Atoms (fractional coordinates):
O  0.3750  0.4928  0.7500
O  0.5072  0.1250  0.2500
O  0.8750  0.7572  0.7500
O  0.2428  0.6250  0.2500
Li  0.5000  0.5000  0.0000
Li  0.2500  0.7500  0.5000
F  0.0000  0.0000  0.0000
F  0.7500  0.2500  0.5000



B.
A relaxed structure of LiO2F. Source: the Alexandria database, functional GGA-PBE.

## Properties
DOS(E_F): 2.60 states/eV per cell
V: 10.106 Å³/atom
Space-group type: No. 225
M_tot: 4.00 μB per formula unit
Calculated density: 2.4 Mg/m³

Lattice parameters (Å, degrees): 3.8523 3.8523 3.8523 60.00 60.00 60.00
Last column: magnetic moment on the atom in μB.
Atoms (fractional coordinates):
O  0.7500  0.7500  0.7500  1.38
O  0.2500  0.2500  0.2500  1.38
F  0.5000  0.5000  0.5000  0.69
Li  0.0000  0.0000  0.0000  0.00



C.
A relaxed structure of LiO2F. Source: the Alexandria database, functional GGA-PBE.

## Properties
V: 15.830 Å³/atom
Space-group type: No. 1
M_tot: 2.00 μB per formula unit
Calculated density: 1.5 Mg/m³

Lattice parameters (Å, degrees): 3.2004 3.1859 9.5672 88.69 125.80 119.96
Last column: magnetic moment on the atom in μB.
Atoms (fractional coordinates):
O  0.9421  0.8000  0.4789  0.81
O  0.4169  0.5494  0.3182  0.81
Li  0.6901  0.0251  0.8913  0.00
F  0.3564  0.3580  0.8918  0.01



The energy of each structure relative to the most stable one, in meV/atom, is as follows: A 521; B 1532; C 0.



A.
A relaxed structure of LiOsOF2. Source: the Alexandria database, functional GGA-PBE.

## Properties
DOS(E_F): 2.55 states/eV per cell
V: 14.276 Å³/atom
Space-group type: No. 123
M_tot: 0.11 μB per formula unit
Calculated density: 5.8 Mg/m³

Lattice parameters (Å, degrees): 4.3694 4.3694 3.7388 90.00 90.00 90.00
Last column: magnetic moment on the atom in μB.
Atoms (fractional coordinates):
F  0.5000  0.0000  0.0000  0.00
F  0.0000  0.5000  0.0000  0.00
Os  0.0000  0.0000  0.0000  0.10
Li  0.5000  0.5000  0.5000  0.00
O  0.0000  0.0000  0.5000  0.00



B.
A relaxed structure of LiOsOF2. Source: the Alexandria database, functional GGA-PBE.

## Properties
DOS(E_F): 1.57 states/eV per cell
V: 9.883 Å³/atom
Space-group type: No. 123
M_tot: 4.17 μB per formula unit
Calculated density: 8.4 Mg/m³

Lattice parameters (Å, degrees): 3.4187 3.4187 4.2283 90.00 90.00 90.00
Last column: magnetic moment on the atom in μB.
Atoms (fractional coordinates):
F  0.0000  0.5000  0.0000  0.14
F  0.5000  0.0000  0.0000  0.14
Li  0.0000  0.0000  0.0000  0.00
Os  0.5000  0.5000  0.5000  3.46
O  0.0000  0.0000  0.5000  0.18



The energy of each structure relative to the most stable one, in meV/atom, is as follows: A 0; B 535.